#one
Below is a relaxed structure of TbTmZn2Sn2, with properties calculated at the PBE level.

Summary:
The total moment is 0.0 μB/cell.

abc: 4.4914 4.4914 15.7670
angles: 90.00 90.00 120.00
Fractional positions:
Sn1 0.3333 0.6667 0.1146
Sn2 0.3333 0.6667 0.3854
Sn3 0.6667 0.3333 0.6146
Sn4 0.6667 0.3333 0.8854
Tb1 0.0000 0.0000 0.0000
Tb2 0.0000 0.0000 0.5000
Tm1 0.0000 0.0000 0.2500
Tm2 0.0000 0.0000 0.7500
Zn1 0.6667 0.3333 0.1618
Zn2 0.6667 0.3333 0.3382
Zn3 0.3333 0.6667 0.6618
Zn4 0.3333 0.6667 0.8382



#two
Below is a relaxed structure of TbTmZn2Sn2, with properties calculated at the PBE level.

Summary:
The total moment is 0.0 μB/cell.

abc: 4.5042 4.5042 15.6886
angles: 90.00 90.00 120.00
Fractional positions:
Sn1 0.3333 0.6667 0.1116
Sn2 0.3333 0.6667 0.3884
Sn3 0.6667 0.3333 0.6116
Sn4 0.6667 0.3333 0.8884
Tb1 0.0000 0.0000 0.2500
Tb2 0.0000 0.0000 0.7500
Tm1 0.0000 0.0000 0.0000
Tm2 0.0000 0.0000 0.5000
Zn1 0.6667 0.3333 0.1591
Zn2 0.6667 0.3333 0.3409
Zn3 0.3333 0.6667 0.6591
Zn4 0.3333 0.6667 0.8409



Relative energies in meV/atom: #one 0; #two 9



#one
Below is a relaxed structure of YTcSn, with properties calculated at the PBE level.

Summary:
The total moment is 0.1 μB/cell.

abc: 4.8006 4.8006 4.8006
angles: 60.00 60.00 60.00
Fractional positions:
Sn1 0.2500 0.2500 0.2500
Tc1 0.7500 0.7500 0.7500
Y1 0.0000 0.0000 0.0000



#two
Below is a relaxed structure of YTcSn, with properties calculated at the PBE level.

Summary:
The total moment is 0.0 μB/cell.

abc: 4.6686 4.6686 4.6686
angles: 60.00 60.00 60.00
Fractional positions:
Sn1 0.2500 0.2500 0.2500
Tc1 0.0000 0.0000 0.0000
Y1 0.7500 0.7500 0.7500



Relative energies in meV/atom: #one 802; #two 0



#one
Below is a relaxed structure of TmTlSnTe3, with properties calculated at the PBE level.

Summary:
The total moment is 0.0 μB/cell.

abc: 15.5711 4.3611 12.5606
angles: 90.00 90.00 90.00
Fractional positions:
Sn1 0.5441 0.7500 0.0843
Sn2 0.0441 0.7500 0.4157
Sn3 0.9559 0.2500 0.5843
Sn4 0.4559 0.2500 0.9157
Te1 0.1124 0.7500 0.0363
Te2 0.6507 0.2500 0.1763
Te3 0.4049 0.7500 0.2375
Te4 0.9049 0.7500 0.2625
Te5 0.1507 0.2500 0.3237
Te6 0.6124 0.7500 0.4637
Te7 0.3876 0.2500 0.5363
Te8 0.8493 0.7500 0.6763
Te9 0.0951 0.2500 0.7375
Te10 0.5951 0.2500 0.7625
Te11 0.3493 0.7500 0.8237
Te12 0.8876 0.2500 0.9637
Tl1 0.2737 0.2500 0.0822
Tl2 0.7737 0.2500 0.4178
Tl3 0.2263 0.7500 0.5822
Tl4 0.7263 0.7500 0.9178
Tm1 0.0105 0.2500 0.1498
Tm2 0.5105 0.2500 0.3502
Tm3 0.4895 0.7500 0.6498
Tm4 0.9895 0.7500 0.8502



#two
Below is a relaxed structure of TmTlSnTe3, with properties calculated at the PBE level.

Summary:
The total moment is 0.0 μB/cell.

abc: 8.3020 8.3020 12.3529
angles: 90.00 90.00 149.89
Fractional positions:
Sn1 0.3733 0.6267 0.2500
Sn2 0.6267 0.3733 0.7500
Te1 0.6325 0.3675 0.0028
Te2 0.0013 0.9987 0.2500
Te3 0.6325 0.3675 0.4972
Te4 0.3675 0.6325 0.5028
Te5 0.9987 0.0013 0.7500
Te6 0.3675 0.6325 0.9972
Tl1 0.7032 0.2968 0.2500
Tl2 0.2968 0.7032 0.7500
Tm1 0.0000 0.0000 0.0000
Tm2 0.0000 0.0000 0.5000



Relative energies in meV/atom: #one 0; #two 108



#one
Below is a relaxed structure of TmTlSn, with properties calculated at the PBE level.

Summary:
The total moment is 0.0 μB/cell.

abc: 5.1398 5.1398 5.1398
angles: 60.00 60.00 60.00
Fractional positions:
Sn1 0.0000 0.0000 0.0000
Tl1 0.2500 0.2500 0.2500
Tm1 0.7500 0.7500 0.7500



#two
Below is a relaxed structure of TmTlSn, with properties calculated at the PBE level.

Summary:
The total moment is 0.0 μB/cell.

abc: 5.1021 5.1021 5.1021
angles: 60.00 60.00 60.00
Fractional positions:
Sn1 0.2500 0.2500 0.2500
Tl1 0.7500 0.7500 0.7500
Tm1 0.0000 0.0000 0.0000



Relative energies in meV/atom: #one 148; #two 0



#one
Below is a relaxed structure of UTlSn, with properties calculated at the PBE level.

Summary:
The total moment is 3.3 μB/cell.

abc: 5.1016 5.1016 5.1016
angles: 60.00 60.00 60.00
Fractional positions:
Sn1 0.2500 0.2500 0.2500
Tl1 0.0000 0.0000 0.0000
U1 0.7500 0.7500 0.7500



#two
Below is a relaxed structure of UTlSn, with properties calculated at the PBE level.

Summary:
The total moment is 3.0 μB/cell.

abc: 5.1583 5.1583 5.1583
angles: 60.00 60.00 60.00
Fractional positions:
Sn1 0.2500 0.2500 0.2500
Tl1 0.7500 0.7500 0.7500
U1 0.0000 0.0000 0.0000



Relative energies in meV/atom: #one 129; #two 0



#one
Below is a relaxed structure of TlZn2Sn2, with properties calculated at the PBE level.

abc: 6.8726 6.8726 6.8726
angles: 140.90 140.90 56.49
Fractional positions:
Sn1 0.3804 0.3804 0.0000
Sn2 0.6196 0.6196 0.0000
Tl1 0.0000 0.0000 0.0000
Zn1 0.7500 0.2500 0.5000
Zn2 0.2500 0.7500 0.5000



#two
Below is a relaxed structure of TlZn2Sn2, with properties calculated at the PBE level.

abc: 6.9056 6.9056 6.9056
angles: 141.78 141.78 55.16
Fractional positions:
Sn1 0.7500 0.2500 0.5000
Sn2 0.2500 0.7500 0.5000
Tl1 0.0000 0.0000 0.0000
Zn1 0.3995 0.3995 0.0000
Zn2 0.6005 0.6005 0.0000



Relative energies in meV/atom: #one 8; #two 0



#one
Below is a relaxed structure of SnW, with properties calculated at the PBE level.

Summary:
The total moment is 0.7 μB/cell.

abc: 3.9103 3.9103 3.9103
angles: 60.00 60.00 60.00
Fractional positions:
Sn1 0.0000 0.0000 0.0000
W1 0.5000 0.5000 0.5000



#two
Below is a relaxed structure of SnW, with properties calculated at the PBE level.

Summary:
The total moment is 2.0 μB/cell.

abc: 4.4266 4.4266 4.4266
angles: 60.00 60.00 60.00
Fractional positions:
Sn1 0.0000 0.0000 0.0000
W1 0.2500 0.2500 0.2500



Relative energies in meV/atom: #one 0; #two 689



#one
Below is a relaxed structure of YSnW, with properties calculated at the PBE level.

Summary:
The total moment is 2.8 μB/cell.

abc: 4.9113 4.9113 4.9113
angles: 60.00 60.00 60.00
Fractional positions:
Sn1 0.5000 0.5000 0.5000
W1 0.0000 0.0000 0.0000
Y1 0.2500 0.2500 0.2500



#two
Below is a relaxed structure of YSnW, with properties calculated at the PBE level.

Summary:
The total moment is 0.5 μB/cell.

abc: 4.7382 4.7382 4.7382
angles: 60.00 60.00 60.00
Fractional positions:
Sn1 0.0000 0.0000 0.0000
W1 0.2500 0.2500 0.2500
Y1 0.7500 0.7500 0.7500



Relative energies in meV/atom: #one 617; #two 0